Entry 1:
Entry from Alexandria: a geometry-optimized CsThTl2 structure (GGA-PBE).

```
data_CsThTl2
_chemical_formula_sum 'Cs1 Th1 Tl2'
_space_group_name_H-M_alt 'P 1'
_space_group_IT_number 1
_cell_length_a 3.975
_cell_length_b 3.975
_cell_length_c 9.441
_cell_angle_alpha 90.00
_cell_angle_beta 90.00
_cell_angle_gamma 90.00
loop_
_space_group_symop_operation_xyz
'x,y,z'
loop_
_atom_site_label
_atom_site_type_symbol
_atom_site_fract_x
_atom_site_fract_y
_atom_site_fract_z
_atom_site_occupancy
Cs1 Cs 0.000 0.000 0.000 1
Th1 Th 0.000 0.000 0.500 1
Tl1 Tl 0.500 0.500 0.302 1
Tl2 Tl 0.500 0.500 0.698 1
```

Properties
SG: P4/mmm
DFT formation energy: -0.009 eV per atom

***

Entry 2:
Entry from Alexandria: a geometry-optimized Na3Ag2Sn7 structure (GGA-PBE).

```
data_Na3Ag2Sn7
_chemical_formula_sum 'Na3 Ag2 Sn7'
_space_group_name_H-M_alt 'P 1'
_space_group_IT_number 1
_cell_length_a 9.887
_cell_length_b 9.887
_cell_length_c 9.887
_cell_angle_alpha 38.59
_cell_angle_beta 38.59
_cell_angle_gamma 38.59
loop_
_space_group_symop_operation_xyz
'x,y,z'
loop_
_atom_site_label
_atom_site_type_symbol
_atom_site_fract_x
_atom_site_fract_y
_atom_site_fract_z
_atom_site_occupancy
Na1 Na 0.000 0.000 0.000 1
Na2 Na 0.139 0.139 0.139 1
Na3 Na 0.861 0.861 0.861 1
Ag1 Ag 0.339 0.339 0.339 1
Ag2 Ag 0.661 0.661 0.661 1
Sn1 Sn 0.064 0.590 0.590 1
Sn2 Sn 0.410 0.410 0.936 1
Sn3 Sn 0.410 0.936 0.410 1
Sn4 Sn 0.500 0.500 0.500 1
Sn5 Sn 0.590 0.064 0.590 1
Sn6 Sn 0.590 0.590 0.064 1
Sn7 Sn 0.936 0.410 0.410 1
```

Properties
SG: R-3m
energy above the lowest structure with this stoichiometry: 0.000 eV per atom
DFT formation energy: -0.060 eV per atom

***

Entry 3:
Entry from Alexandria: a geometry-optimized Ca3Te2S structure (GGA-PBE).

```
data_Ca3Te2S
_chemical_formula_sum 'Ca6 Te4 S2'
_space_group_name_H-M_alt 'P 1'
_space_group_IT_number 1
_cell_length_a 4.306
_cell_length_b 4.306
_cell_length_c 22.146
_cell_angle_alpha 90.00
_cell_angle_beta 90.00
_cell_angle_gamma 120.00
loop_
_space_group_symop_operation_xyz
'x,y,z'
loop_
_atom_site_label
_atom_site_type_symbol
_atom_site_fract_x
_atom_site_fract_y
_atom_site_fract_z
_atom_site_occupancy
Ca1 Ca 0.000 0.000 0.000 1
Ca2 Ca 0.000 0.000 0.500 1
Ca3 Ca 0.333 0.667 0.174 1
Ca4 Ca 0.333 0.667 0.326 1
Ca5 Ca 0.667 0.333 0.674 1
Ca6 Ca 0.667 0.333 0.826 1
Te1 Te 0.333 0.667 0.587 1
Te2 Te 0.333 0.667 0.913 1
Te3 Te 0.667 0.333 0.087 1
Te4 Te 0.667 0.333 0.413 1
S1 S 0.000 0.000 0.250 1
S2 S 0.000 0.000 0.750 1
```

Properties
SG: P6_3/mmc
uncorrected energy: -26.769 eV/f.u.

***

Entry 4:
Entry from Alexandria: a geometry-optimized LiVCd structure (GGA-PBE).

```
data_LiVCd
_chemical_formula_sum 'Li2 V2 Cd2'
_space_group_name_H-M_alt 'P 1'
_space_group_IT_number 1
_cell_length_a 4.629
_cell_length_b 4.629
_cell_length_c 5.607
_cell_angle_alpha 90.00
_cell_angle_beta 90.00
_cell_angle_gamma 120.00
loop_
_space_group_symop_operation_xyz
'x,y,z'
loop_
_atom_site_label
_atom_site_type_symbol
_atom_site_fract_x
_atom_site_fract_y
_atom_site_fract_z
_atom_site_occupancy
Li1 Li 0.333 0.667 0.250 1
Li2 Li 0.667 0.333 0.750 1
V1 V 0.333 0.667 0.750 1
V2 V 0.667 0.333 0.250 1
Cd1 Cd 0.000 0.000 0.000 1
Cd2 Cd 0.000 0.000 0.500 1
```

Properties
SG: P6_3/mmc
energy above the lowest structure with this stoichiometry: 0.321 eV per atom
DFT formation energy: 0.453 eV per atom

***

Entry 5:
Entry from Alexandria: a geometry-optimized Cs3SrP2O8 structure (GGA-PBE).

```
data_Cs3SrP2O8
_chemical_formula_sum 'Cs3 Sr1 P2 O8'
_space_group_name_H-M_alt 'P 1'
_space_group_IT_number 1
_cell_length_a 6.164
_cell_length_b 6.164
_cell_length_c 8.408
_cell_angle_alpha 90.00
_cell_angle_beta 90.00
_cell_angle_gamma 120.00
loop_
_space_group_symop_operation_xyz
'x,y,z'
loop_
_atom_site_label
_atom_site_type_symbol
_atom_site_fract_x
_atom_site_fract_y
_atom_site_fract_z
_atom_site_occupancy
Cs1 Cs 0.000 0.000 0.000 1
Cs2 Cs 0.333 0.667 0.730 1
Cs3 Cs 0.667 0.333 0.270 1
Sr1 Sr 0.000 0.000 0.500 1
P1 P 0.333 0.667 0.271 1
P2 P 0.667 0.333 0.729 1
O1 O 0.195 0.390 0.331 1
O2 O 0.195 0.805 0.331 1
O3 O 0.333 0.667 0.086 1
O4 O 0.390 0.195 0.669 1
O5 O 0.610 0.805 0.331 1
O6 O 0.667 0.333 0.914 1
O7 O 0.805 0.195 0.669 1
O8 O 0.805 0.610 0.669 1
```

Properties
SG: P-3m1
uncorrected energy: -87.184 eV/f.u.

***

Entry 6:
Entry from Alexandria: a geometry-optimized LiLa12Sm3 structure (GGA-PBE).

```
data_LiLa12Sm3
_chemical_formula_sum 'Li1 La12 Sm3'
_space_group_name_H-M_alt 'P 1'
_space_group_IT_number 1
_cell_length_a 5.220
_cell_length_b 5.220
_cell_length_c 20.786
_cell_angle_alpha 90.00
_cell_angle_beta 90.00
_cell_angle_gamma 90.00
loop_
_space_group_symop_operation_xyz
'x,y,z'
loop_
_atom_site_label
_atom_site_type_symbol
_atom_site_fract_x
_atom_site_fract_y
_atom_site_fract_z
_atom_site_occupancy
Li1 Li 0.000 0.000 0.000 1
La1 La 0.000 0.500 0.123 1
La2 La 0.000 0.500 0.373 1
La3 La 0.000 0.500 0.627 1
La4 La 0.000 0.500 0.877 1
La5 La 0.500 0.000 0.123 1
La6 La 0.500 0.000 0.373 1
La7 La 0.500 0.000 0.627 1
La8 La 0.500 0.000 0.877 1
La9 La 0.500 0.500 0.000 1
La10 La 0.500 0.500 0.246 1
La11 La 0.500 0.500 0.500 1
La12 La 0.500 0.500 0.754 1
Sm1 Sm 0.000 0.000 0.246 1
Sm2 Sm 0.000 0.000 0.500 1
Sm3 Sm 0.000 0.000 0.754 1
```

Properties
SG: P4/mmm
DFT formation energy: 0.036 eV per atom

***

Entry 7:
Entry from Alexandria: a geometry-optimized Dy2ScRe structure (GGA-PBE).

```
data_Dy2ScRe
_chemical_formula_sum 'Dy2 Sc1 Re1'
_space_group_name_H-M_alt 'P 1'
_space_group_IT_number 1
_cell_length_a 11.203
_cell_length_b 11.203
_cell_length_c 11.203
_cell_angle_alpha 16.17
_cell_angle_beta 16.17
_cell_angle_gamma 16.17
loop_
_space_group_symop_operation_xyz
'x,y,z'
loop_
_atom_site_label
_atom_site_type_symbol
_atom_site_fract_x
_atom_site_fract_y
_atom_site_fract_z
_atom_site_occupancy
Dy1 Dy 0.082 0.082 0.082 1
Dy2 Dy 0.918 0.918 0.918 1
Sc1 Sc 0.500 0.500 0.500 1
Re1 Re 0.000 0.000 0.000 1
```

Properties
SG: R-3m
DFT formation energy: 0.757 eV per atom

***

Entry 8:
Entry from Alexandria: a geometry-optimized Co4Sb structure (GGA-PBE).

```
data_Co4Sb
_chemical_formula_sum 'Co4 Sb1'
_space_group_name_H-M_alt 'P 1'
_space_group_IT_number 1
_cell_length_a 4.586
_cell_length_b 4.586
_cell_length_c 4.586
_cell_angle_alpha 90.00
_cell_angle_beta 90.00
_cell_angle_gamma 90.00
loop_
_space_group_symop_operation_xyz
'x,y,z'
loop_
_atom_site_label
_atom_site_type_symbol
_atom_site_fract_x
_atom_site_fract_y
_atom_site_fract_z
_atom_site_occupancy
Co1 Co 0.000 0.000 0.000 1
Co2 Co 0.000 0.500 0.500 1
Co3 Co 0.500 0.000 0.500 1
Co4 Co 0.500 0.500 0.000 1
Sb1 Sb 0.500 0.500 0.500 1
```

Properties
SG: Pm-3m
energy above the lowest structure with this stoichiometry: 1.248 eV per atom

***

Entry 9:
Entry from Alexandria: a geometry-optimized BaC5 structure (GGA-PBE).

```
data_BaC5
_chemical_formula_sum 'Ba1 C5'
_space_group_name_H-M_alt 'P 1'
_space_group_IT_number 1
_cell_length_a 4.989
_cell_length_b 4.989
_cell_length_c 4.989
_cell_angle_alpha 60.00
_cell_angle_beta 60.00
_cell_angle_gamma 60.00
loop_
_space_group_symop_operation_xyz
'x,y,z'
loop_
_atom_site_label
_atom_site_type_symbol
_atom_site_fract_x
_atom_site_fract_y
_atom_site_fract_z
_atom_site_occupancy
Ba1 Ba 0.000 0.000 0.000 1
C1 C 0.422 0.422 0.422 1
C2 C 0.422 0.422 0.733 1
C3 C 0.422 0.733 0.422 1
C4 C 0.733 0.422 0.422 1
C5 C 0.750 0.750 0.750 1
```

Properties
SG: F-43m
energy above the lowest structure with this stoichiometry: 1.601 eV per atom
DFT formation energy: 2.462 eV per atom

***

Entry 10:
Entry from Alexandria: a geometry-optimized Ag2AuBr structure (GGA-PBE).

```
data_Ag2AuBr
_chemical_formula_sum 'Ag2 Au1 Br1'
_space_group_name_H-M_alt 'P 1'
_space_group_IT_number 1
_cell_length_a 4.867
_cell_length_b 4.867
_cell_length_c 4.867
_cell_angle_alpha 60.00
_cell_angle_beta 60.00
_cell_angle_gamma 60.00
loop_
_space_group_symop_operation_xyz
'x,y,z'
loop_
_atom_site_label
_atom_site_type_symbol
_atom_site_fract_x
_atom_site_fract_y
_atom_site_fract_z
_atom_site_occupancy
Ag1 Ag 0.000 0.000 0.000 1
Ag2 Ag 0.250 0.250 0.250 1
Au1 Au 0.750 0.750 0.750 1
Br1 Br 0.500 0.500 0.500 1
```

Properties
SG: F-43m
energy above the lowest structure with this stoichiometry: 0.299 eV per atom

***

Entry 11:
Entry from Alexandria: a geometry-optimized TmUTe2C structure (GGA-PBE).

```
data_TmUTe2C
_chemical_formula_sum 'Tm2 U2 Te4 C2'
_space_group_name_H-M_alt 'P 1'
_space_group_IT_number 1
_cell_length_a 4.052
_cell_length_b 4.052
_cell_length_c 15.640
_cell_angle_alpha 90.00
_cell_angle_beta 90.00
_cell_angle_gamma 90.00
loop_
_space_group_symop_operation_xyz
'x,y,z'
loop_
_atom_site_label
_atom_site_type_symbol
_atom_site_fract_x
_atom_site_fract_y
_atom_site_fract_z
_atom_site_occupancy
Tm1 Tm 0.250 0.250 0.132 1
Tm2 Tm 0.750 0.750 0.868 1
U1 U 0.250 0.250 0.571 1
U2 U 0.750 0.750 0.429 1
Te1 Te 0.250 0.250 0.319 1
Te2 Te 0.250 0.250 0.916 1
Te3 Te 0.750 0.750 0.084 1
Te4 Te 0.750 0.750 0.681 1
C1 C 0.250 0.750 0.500 1
C2 C 0.750 0.250 0.500 1
```

Properties
SG: P4/nmm
uncorrected energy: -34.966 eV/f.u.

***

Entry 12:
Entry from Alexandria: a geometry-optimized LiAcSe2 structure (GGA-PBE).

```
data_LiAcSe2
_chemical_formula_sum 'Li4 Ac4 Se8'
_space_group_name_H-M_alt 'P 1'
_space_group_IT_number 1
_cell_length_a 7.598
_cell_length_b 7.723
_cell_length_c 7.812
_cell_angle_alpha 90.00
_cell_angle_beta 98.11
_cell_angle_gamma 90.00
loop_
_space_group_symop_operation_xyz
'x,y,z'
loop_
_atom_site_label
_atom_site_type_symbol
_atom_site_fract_x
_atom_site_fract_y
_atom_site_fract_z
_atom_site_occupancy
Li1 Li 0.114 0.171 0.375 1
Li2 Li 0.114 0.329 0.875 1
Li3 Li 0.886 0.671 0.125 1
Li4 Li 0.886 0.829 0.625 1
Ac1 Ac 0.314 0.562 0.219 1
Ac2 Ac 0.314 0.938 0.719 1
Ac3 Ac 0.686 0.062 0.281 1
Ac4 Ac 0.686 0.438 0.781 1
Se1 Se 0.067 0.659 0.856 1
Se2 Se 0.067 0.841 0.356 1
Se3 Se 0.426 0.242 0.987 1
Se4 Se 0.426 0.258 0.487 1
Se5 Se 0.574 0.742 0.513 1
Se6 Se 0.574 0.758 0.013 1
Se7 Se 0.933 0.159 0.644 1
Se8 Se 0.933 0.341 0.144 1
```

Properties
SG: P2_1/c
uncorrected energy: -19.841 eV/f.u.